Entry 1:
Below is MgBrCl2 after structural relaxation, with properties calculated at the PBE level.

a b c (Å): 6.3437 7.9433 8.0676
angles (deg): 90.00 90.00 90.00
Atoms (fractional coordinates):
Mg1 0.0000 0.0000 0.0000
Mg2 0.0000 0.5000 0.5000
Mg3 0.5000 0.0000 0.5000
Mg4 0.5000 0.5000 0.0000
Br1 0.0000 0.0000 0.5000
Br2 0.0000 0.5000 0.0000
Br3 0.5000 0.0000 0.0000
Br4 0.5000 0.5000 0.5000
Cl1 0.0000 0.2500 0.2500
Cl2 0.0000 0.2500 0.7500
Cl3 0.0000 0.7500 0.2500
Cl4 0.0000 0.7500 0.7500
Cl5 0.5000 0.2500 0.2500
Cl6 0.5000 0.2500 0.7500
Cl7 0.5000 0.7500 0.2500
Cl8 0.5000 0.7500 0.7500

**Magnetization**: 0.338 μB/f.u.
**Distance to the lowest polymorph of the same formula**: 644 meV/atom
**Calculated total energy**: -9.13 eV/f.u.
**Raw formation energy**: -541 meV per atom
**Crystal system**: orthorhombic

Entry 2:
Below is Rb2FeBi2 after structural relaxation, with properties calculated at the PBE level.

a b c (Å): 7.4226 7.4226 6.3028
angles (deg): 90.00 90.00 90.00
Atoms (fractional coordinates):
Rb1 0.1673 0.3327 0.0000
Rb2 0.3327 0.8327 0.0000
Rb3 0.6673 0.1673 0.0000
Rb4 0.8327 0.6673 0.0000
Fe1 0.0000 0.0000 0.5000
Fe2 0.5000 0.5000 0.5000
Bi1 0.1547 0.6547 0.5000
Bi2 0.3453 0.1547 0.5000
Bi3 0.6547 0.8453 0.5000
Bi4 0.8453 0.3453 0.5000

**Magnetization**: 2.842 μB/f.u.
**Calculated total energy**: -17.72 eV/f.u.
**Crystal system**: tetragonal
**DFT formation energy**: 0.44 eV/f.u.

Entry 3:
Below is Sc5Ge2Bi after structural relaxation, with properties calculated at the PBE level.

a b c (Å): 8.2538 8.2538 8.2538
angles (deg): 126.65 126.65 78.83
Atoms (fractional coordinates):
Sc1 0.0000 0.0000 0.0000
Sc2 0.0116 0.5116 0.8050
Sc3 0.2066 0.0116 0.5000
Sc4 0.2934 0.7934 0.8050
Sc5 0.4884 0.2934 0.5000
Sc6 0.5000 0.5000 0.0000
Sc7 0.5116 0.7066 0.5000
Sc8 0.7066 0.2066 0.1950
Sc9 0.7934 0.9884 0.5000
Sc10 0.9884 0.4884 0.1950
Ge1 0.1492 0.3508 0.5000
Ge2 0.3508 0.8508 0.2016
Ge3 0.6492 0.1492 0.7984
Ge4 0.8508 0.6492 0.5000
Bi1 0.2500 0.2500 0.0000
Bi2 0.7500 0.7500 0.0000

**Magnetization**: 1.229 μB/f.u.
**Calculated total energy**: -50.51 eV/f.u.
**Crystal system**: tetragonal
**DFT formation energy**: -5.73 eV/f.u.

Entry 4:
Below is Dy2Er3Tm6Pu after structural relaxation, with properties calculated at the PBE level.

a b c (Å): 6.0499 6.0499 11.5331
angles (deg): 95.03 95.03 120.00
Atoms (fractional coordinates):
Dy1 0.1666 0.8334 0.0000
Dy2 0.8334 0.1666 0.0000
Er1 0.0000 0.0000 0.5000
Er2 0.3327 0.6673 0.5000
Er3 0.6673 0.3327 0.5000
Tm1 0.0876 0.4170 0.7510
Tm2 0.2535 0.2535 0.2491
Tm3 0.4170 0.0876 0.7510
Tm4 0.5830 0.9124 0.2490
Tm5 0.7465 0.7465 0.7509
Tm6 0.9124 0.5830 0.2490
Pu1 0.5000 0.5000 0.0000

**Magnetization**: 6.415 μB/f.u.
**Calculated total energy**: -63.52 eV/f.u.
**Crystal system**: monoclinic
**DFT formation energy**: 0.53 eV/f.u.

Entry 5:
Below is Zr4PbAu after structural relaxation, with properties calculated at the PBE level.

a b c (Å): 5.7701 5.7701 5.7701
angles (deg): 60.00 60.00 60.00
Atoms (fractional coordinates):
Zr1 0.1254 0.1254 0.1254
Zr2 0.1254 0.1254 0.6239
Zr3 0.1254 0.6239 0.1254
Zr4 0.6239 0.1254 0.1254
Pb1 0.5000 0.5000 0.5000
Au1 0.7500 0.7500 0.7500

**Magnetization**: 0.000 μB/f.u.
**Calculated total energy**: -40.14 eV/f.u.
**Crystal system**: cubic
**DFT formation energy**: 1.03 eV/f.u.

Entry 6:
Below is EuTmAg4 after structural relaxation, with properties calculated at the PBE level.

a b c (Å): 5.7508 5.7508 5.7508
angles (deg): 60.00 60.00 60.00
Atoms (fractional coordinates):
Eu1 0.0000 0.0000 0.0000
Tm1 0.7500 0.7500 0.7500
Ag1 0.3754 0.3754 0.3754
Ag2 0.3754 0.3754 0.8739
Ag3 0.3754 0.8739 0.3754
Ag4 0.8739 0.3754 0.3754

**Magnetization**: 7.490 μB/f.u.
**Calculated total energy**: -27.10 eV/f.u.
**Crystal system**: cubic
**DFT formation energy**: -0.94 eV/f.u.